# 1
Compound: Ti3HSe
Source: Alexandria via LeMat-Bulk
Functional: PBE
Structure: optimized geometry

Values from the calculation:
Space group ... Pm-3m
Magnetization ... 0.0 μB/cell

Lattice parameters (Å, degrees): 4.006 4.006 4.006 90.00 90.00 90.00
Fractional positions:
H: 0.000 0.000 0.000
Se: 0.500 0.500 0.500
Ti: 0.000 0.500 0.000
Ti: 0.000 0.000 0.500
Ti: 0.500 0.000 0.000

=====

# 2
Compound: Ti3H2Se2
Source: Alexandria via LeMat-Bulk
Functional: PBE
Structure: optimized geometry

Values from the calculation:
Space group ... P2_1/c
Magnetization ... 0.0 μB/cell

Lattice parameters (Å, degrees): 6.215 6.533 5.017 90.00 64.62 90.00
Fractional positions:
Ti: 0.500 0.500 0.000
Ti: 0.000 0.000 0.000
Ti: 0.759 0.153 0.592
Ti: 0.741 0.653 0.408
Ti: 0.259 0.347 0.592
Ti: 0.241 0.847 0.408
H: 0.564 0.400 0.627
H: 0.936 0.900 0.373
H: 0.064 0.100 0.627
H: 0.436 0.600 0.373
Se: 0.920 0.640 0.814
Se: 0.420 0.860 0.814
Se: 0.580 0.140 0.186
Se: 0.080 0.360 0.186

=====

# 3
Compound: Ti2H4Se
Source: Alexandria via LeMat-Bulk
Functional: PBE
Structure: optimized geometry

Values from the calculation:
Space group ... Fdd2
Magnetization ... 0.0 μB/cell

Lattice parameters (Å, degrees): 5.512 5.513 6.573 118.63 118.63 81.78
Fractional positions:
Ti: 0.674 0.306 0.784
Ti: 0.522 0.889 0.216
Ti: 0.556 0.423 0.284
Ti: 0.139 0.272 0.716
H: 0.805 0.147 0.294
H: 0.288 0.562 0.055
H: 0.853 0.512 0.706
H: 0.812 0.038 0.555
H: 0.483 0.257 0.445
H: 0.507 0.233 0.945
H: 0.397 0.556 0.794
H: 0.762 0.603 0.206
Se: 0.351 0.851 0.500
Se: 0.101 0.101 0.000

=====

# 4
Compound: Ti4H2Se
Source: Alexandria via LeMat-Bulk
Functional: PBE
Structure: optimized geometry

Values from the calculation:
Space group ... Cmcm
Magnetization ... 0.0 μB/cell

Lattice parameters (Å, degrees): 3.357 5.453 9.870 90.00 90.00 107.93
Fractional positions:
Ti: 0.794 0.587 0.099
Ti: 0.794 0.587 0.401
Ti: 0.206 0.413 0.901
Ti: 0.206 0.413 0.599
Ti: 0.888 0.775 0.750
Ti: 0.112 0.225 0.250
Ti: 0.500 0.000 0.000
Ti: 0.500 0.000 0.500
H: 0.096 0.192 0.448
H: 0.904 0.808 0.948
H: 0.096 0.192 0.052
H: 0.904 0.808 0.552
Se: 0.587 0.174 0.750
Se: 0.413 0.826 0.250

=====

# 5
Compound: Ti3HSe
Source: Alexandria via LeMat-Bulk
Functional: PBE
Structure: optimized geometry

Values from the calculation:
Space group ... P2_1/m
Magnetization ... 0.0 μB/cell

Lattice parameters (Å, degrees): 3.373 6.201 9.683 128.99 90.00 90.00
Fractional positions:
Ti: 0.250 0.288 0.973
Ti: 0.750 0.712 0.027
Ti: 0.250 0.920 0.341
Ti: 0.750 0.080 0.659
Ti: 0.250 0.482 0.726
Ti: 0.750 0.518 0.274
H: 0.250 0.103 0.586
H: 0.750 0.897 0.414
Se: 0.250 0.156 0.207
Se: 0.750 0.844 0.793

=====

# 6
Compound: TiHSe3
Source: Alexandria via LeMat-Bulk
Functional: PBE
Structure: optimized geometry

Values from the calculation:
Space group ... Pm-3m
Magnetization ... 1.0 μB/cell

Lattice parameters (Å, degrees): 4.947 4.947 4.947 90.00 90.00 90.00
Fractional positions:
H: 0.500 0.500 0.500
Se: 0.000 0.500 0.000
Se: 0.000 0.000 0.500
Se: 0.500 0.000 0.000
Ti: 0.000 0.000 0.000

=====

How do the records compare in VASP energy? In the order shown, they have -6.515 -6.058 -5.016 -6.463 -6.508 -4.212 eV per atom.